1.
Below is crystalline Rb3Y3TiSe8 at its relaxed geometry, with properties calculated at the PBE level.

Computed properties:
Space-group type   No. 166
M_tot   0.000 μB per formula unit
Formation energy from raw total energies   -23.87 eV per formula unit
Final energy   -5.462 eV/atom

```
Rb3Y3TiSe8
1.0
-3.391 -7.429 -0.746
1.375 3.151 7.444
-7.216 3.774 -4.782
Se Rb Y Ti
8 3 3 1
Cartesian
-2.357 0.841 2.336 Se
-4.159 -2.843 2.146 Se
-6.875 -1.346 -0.420 Se
-3.073 -0.537 -1.465 Se
-5.073 2.339 -0.230 Se
-6.159 0.032 3.381 Se
-4.901 -4.541 -1.867 Se
-4.331 4.037 3.783 Se
-1.008 -2.139 3.349 Rb
0.000 0.000 0.000 Rb
0.688 1.575 3.722 Rb
-4.616 -0.252 0.958 Y
-2.921 3.462 1.331 Y
-5.304 -1.828 -2.764 Y
-3.608 1.887 -2.391 Ti
```

=====

2.
Below is crystalline RbYTiSe4 at its relaxed geometry, with properties calculated at the PBE level.

Computed properties:
Space-group type   No. 11
M_tot   0.000 μB per formula unit
Formation energy from raw total energies   -10.06 eV per formula unit
Final energy   -5.618 eV/atom

```
RbYTiSe4
1.0
-6.094 0.270 -3.114
2.447 -4.211 -5.154
-0.007 -7.378 6.024
Se Ti Y Rb
8 2 2 2
Cartesian
2.358 -9.366 -0.926 Se
-2.802 -6.974 1.928 Se
-2.743 -3.995 -0.478 Se
-4.818 -4.006 -3.833 Se
1.164 -7.312 1.589 Se
-0.911 -7.323 -1.767 Se
-0.851 -4.344 -4.172 Se
-6.012 -1.952 -1.319 Se
0.408 -5.565 -2.577 Ti
-4.061 -5.753 0.332 Ti
-0.691 -5.017 1.331 Y
-2.962 -6.301 -3.576 Y
-0.962 -1.412 -1.742 Rb
-2.692 -9.907 -0.502 Rb
```

=====

3.
Below is crystalline Rb2ZrTiSe5 at its relaxed geometry, with properties calculated at the PBE level.

Computed properties:
Space-group type   No. 36
M_tot   0.000 μB per formula unit
Formation energy from raw total energies   -11.14 eV per formula unit
Final energy   -5.216 eV/atom

```
Rb2ZrTiSe5
1.0
4.082 0.000 0.000
-2.041 10.061 0.000
0.000 0.000 14.588
Rb Ti Se Zr
4 2 10 2
Cartesian
0.000 2.519 4.703 Rb
0.000 2.642 9.969 Rb
2.041 7.420 2.675 Rb
2.041 7.542 11.996 Rb
0.000 8.555 6.267 Ti
2.041 1.506 13.561 Ti
0.000 9.766 4.323 Se
2.041 3.851 12.988 Se
2.041 0.295 11.616 Se
2.041 3.929 2.148 Se
0.000 6.210 5.694 Se
0.000 6.132 9.442 Se
0.000 6.633 0.026 Se
2.041 8.899 7.627 Se
0.000 1.163 0.334 Se
2.041 3.429 7.319 Se
0.000 4.185 0.437 Zr
2.041 5.877 7.731 Zr
```

=====

4.
Below is crystalline RbTl2Se3 at its relaxed geometry, with properties calculated at the PBE level.

Computed properties:
Space-group type   No. 12
M_tot   0.000 μB per formula unit
Formation energy from raw total energies   -2.69 eV per formula unit
Final energy   -3.141 eV/atom

```
RbTl2Se3
1.0
-4.807 -0.546 -0.924
1.595 -6.976 -4.171
0.338 -2.077 12.590
Rb Se Tl
2 6 4
Cartesian
-1.660 -6.925 -0.397 Rb
-1.214 -2.674 7.891 Rb
-4.061 -2.869 9.692 Se
-0.748 -6.119 7.503 Se
-2.126 -3.481 -0.008 Se
-2.370 -6.692 3.160 Se
-0.503 -2.907 4.335 Se
1.188 -6.730 -2.197 Se
-0.263 -5.792 4.791 Tl
-2.611 -3.807 2.704 Tl
0.156 -1.778 0.242 Tl
-3.029 -7.821 7.253 Tl
```

=====

5.
Below is crystalline RbTl2Se at its relaxed geometry, with properties calculated at the PBE level.

Computed properties:
Space-group type   No. 122
M_tot   0.000 μB per formula unit
Formation energy from raw total energies   -1.61 eV per formula unit
Excess energy over the best structure of this formula in the dataset   0 kJ/mol of formula units
Final energy   -2.700 eV/atom

```
RbTl2Se
1.0
9.279 0.000 0.000
0.000 9.279 0.000
4.640 4.640 3.390
Tl Rb Se
4 2 2
Cartesian
6.469 2.320 0.848 Tl
11.599 11.108 2.543 Tl
6.960 7.450 2.543 Tl
2.811 6.960 0.848 Tl
0.000 0.000 0.000 Rb
9.279 4.640 1.695 Rb
4.640 9.279 1.695 Se
4.640 4.640 0.000 Se
```

=====

6.
Below is crystalline Rb2Tl12Se7 at its relaxed geometry, with properties calculated at the PBE level.

Computed properties:
Space-group type   No. 147
M_tot   0.000 μB per formula unit
Formation energy from raw total energies   -10.04 eV per formula unit
Final energy   -3.084 eV/atom

```
Rb2Tl12Se7
1.0
5.978 0.000 0.000
0.000 10.386 -5.996
0.000 0.000 11.992
Tl Rb Se
12 2 7
Cartesian
4.631 8.609 -4.112 Tl
1.347 0.744 2.480 Tl
4.621 5.706 4.146 Tl
1.347 7.866 5.400 Tl
4.631 2.520 0.596 Tl
1.347 1.776 10.108 Tl
1.357 6.444 -2.869 Tl
4.631 9.642 3.516 Tl
4.621 0.738 4.977 Tl
1.357 4.679 1.850 Tl
1.357 9.648 1.019 Tl
4.621 3.941 8.865 Tl
4.730 6.924 0.000 Rb
1.248 3.462 5.996 Rb
2.630 4.396 -0.938 Se
3.348 5.989 6.934 Se
2.989 0.000 0.000 Se
2.630 7.375 2.658 Se
2.630 9.000 -1.720 Se
3.348 3.010 3.338 Se
3.348 1.386 7.716 Se
```